[1]
The following is a GGA+U calculation of a geometry-optimized RbTlVF6 structure, from Alexandria via LeMat-Bulk.

Summary:
Energy, eV per atom: -5.078
Volume, Å³ per atom: 17.10

Unit cell a=4.9007 b=6.0011 c=6.0218 alpha=60.36 beta=89.87 gamma=89.90
With the nearest neighbours (Å) after each atom.
Atoms (fractional coordinates):
Rb (0.0000, 0.0000, 0.0000)  12 F 3.02-3.21
Tl (0.4115, 0.3359, 0.3246)  12 F 3.02-3.13
V (0.6947, 0.6677, 0.6626)  6 F 1.87-1.91
F (0.4772, 0.8219, 0.8057)  1 V 1.88
F (0.4820, 0.3665, 0.8061)  1 V 1.89
F (0.4859, 0.8192, 0.3546)  1 V 1.91
F (0.9025, 0.5158, 0.9707)  1 V 1.91
F (0.9065, 0.9686, 0.5190)  1 V 1.88
F (0.9116, 0.5139, 0.5196)  1 V 1.87



[2]
The following is a GGA+U calculation of a geometry-optimized RbTl2VF6 structure, from Alexandria via LeMat-Bulk.

Summary:
Energy, eV per atom: -4.912
Volume, Å³ per atom: 19.73

Unit cell a=6.1658 b=6.9119 c=11.1162 alpha=90.00 beta=123.59 gamma=90.00
With the nearest neighbours (Å) after each atom.
Atoms (fractional coordinates):
Rb (0.0000, 0.0000, 0.0000)  6 F 2.77-2.86
Rb (0.0000, 0.5000, 0.5000)  6 F 2.77-2.86
Tl (0.2215, 0.0400, 0.7315)  6 F 2.75-3.00
Tl (0.2215, 0.4600, 0.2315)  6 F 2.75-3.00
Tl (0.7785, 0.5400, 0.7685)  6 F 2.75-3.00
Tl (0.7785, 0.9600, 0.2685)  6 F 2.75-3.00
V (0.5000, 0.0000, 0.5000)  6 F 1.97-2.02
V (0.5000, 0.5000, 0.0000)  6 F 1.97-2.02
F (0.2084, 0.1516, 0.4869)  1 V 2.02
F (0.2084, 0.3484, 0.9869)  1 V 2.02
F (0.2741, 0.7308, 0.9355)  1 V 1.97
F (0.2741, 0.7692, 0.4355)  1 V 1.97
F (0.3665, 0.0633, 0.2955)  1 V 1.99
F (0.3665, 0.4367, 0.7955)  1 V 1.99
F (0.6335, 0.5633, 0.2045)  1 V 1.99
F (0.6335, 0.9367, 0.7045)  1 V 1.99
F (0.7259, 0.2308, 0.5645)  1 V 1.97
F (0.7259, 0.2692, 0.0645)  1 V 1.97
F (0.7916, 0.6516, 0.0131)  1 V 2.02
F (0.7916, 0.8484, 0.5131)  1 V 2.02



[3]
The following is a GGA+U calculation of a geometry-optimized RbTl3V2F9 structure, from Alexandria via LeMat-Bulk.

Summary:
Energy, eV per atom: -5.016
Volume, Å³ per atom: 18.49

Unit cell a=6.1300 b=6.1300 c=8.5224 alpha=90.00 beta=90.00 gamma=120.00
With the nearest neighbours (Å) after each atom.
Atoms (fractional coordinates):
Rb (0.0000, 0.0000, 0.0000)  6 F 2.73
Tl (0.0000, 0.0000, 0.5000)  12 F 2.97-3.06
Tl (0.3333, 0.6667, 0.2158)  9 F 3.00-3.07
Tl (0.6667, 0.3333, 0.7842)  9 F 3.00-3.07
V (0.3333, 0.6667, 0.6389)  6 F 1.99-2.13
V (0.6667, 0.3333, 0.3611)  6 F 1.99-2.13
F (0.0000, 0.5000, 0.5000)  2 V 2.13
F (0.1778, 0.3557, 0.7690)  1 V 1.99
F (0.1778, 0.8222, 0.7690)  1 V 1.99
F (0.3557, 0.1778, 0.2310)  1 V 1.99
F (0.5000, 0.0000, 0.5000)  2 V 2.13
F (0.5000, 0.5000, 0.5000)  2 V 2.13
F (0.6443, 0.8222, 0.7690)  1 V 1.99
F (0.8222, 0.1778, 0.2310)  1 V 1.99
F (0.8222, 0.6443, 0.2310)  1 V 1.99



[4]
The following is a GGA+U calculation of a geometry-optimized Rb2TlVF6 structure, from Alexandria via LeMat-Bulk.

Summary:
Energy, eV per atom: -4.900
Volume, Å³ per atom: 19.85

Unit cell a=6.5421 b=6.5421 c=6.5421 alpha=119.82 beta=119.82 gamma=90.32
With the nearest neighbours (Å) after each atom.
Atoms (fractional coordinates):
Rb (0.2500, 0.7500, 0.5000)  12 F 3.29-3.30
Rb (0.7500, 0.2500, 0.5000)  12 F 3.29-3.30
Tl (0.0000, 0.0000, 0.0000)  6 F 2.65-2.66
V (0.5000, 0.5000, 0.0000)  6 F 1.96-1.99
F (0.2854, 0.2854, 0.5707)  1 V 1.99
F (0.2854, 0.7146, 0.0000)  1 V 1.99
F (0.2881, 0.2881, 0.0000)  1 V 1.96
F (0.7119, 0.7119, 0.0000)  1 V 1.96
F (0.7146, 0.2854, 0.0000)  1 V 1.99
F (0.7146, 0.7146, 0.4293)  1 V 1.99



no.,total moment (μB per atom)
1,0.1111
2,0.2000
3,0.3333
4,0.2000